An optimized crystal structure of GaAgGe, computed with PBE-GGA.

Summary:
Its crystal system is trigonal. The value obtained for the density of states at the Fermi level is 0.92 states/eV/f.u. As for the calculated volume: 18.32 A^3/atom.

a = 3.1821 Å, b = 3.1821 Å, c = 6.2687 Å
α = 90.00°, β = 90.00°, γ = 120.00°
Space group P3m1 (No. 156)
Symmetry-distinct sites (fractional):
Ga1 0.0000 0.0000 0.0000 x1
Ag1 0.6667 0.3333 0.3290 x1
Ge1 0.3333 0.6667 0.6686 x1

---

An optimized crystal structure of GaAgGe, computed with PBE-GGA.

Summary:
Its crystal system is orthorhombic. The value obtained for the density of states at the Fermi level is 0.43 states/eV/f.u. As for the calculated volume: 19.30 A^3/atom.

a = 7.203 Å, b = 4.758 Å, c = 6.758 Å
α = 90.00°, β = 90.00°, γ = 90.00°
Space group Pnma (No. 62)
Symmetry-distinct sites (fractional):
Ga1 0.081 0.250 0.191 x4
Ag1 0.102 0.750 0.437 x4
Ge1 0.204 0.750 0.042 x4

---

Calculated formation energy, 117, 138 meV per atom (same order as the records).